Record 1
First-principles (PBE-GGA) data for a relaxed BaLi2HOs crystal, as listed in Alexandria via LeMat-Bulk.

abc: 4.178 5.154 4.178
angles: 90.00 90.00 90.00
Element x y z (fractional)
1 H 0.000 0.000 0.000
2 Os 0.500 0.500 0.500
3 Ba 0.000 0.500 0.000
4 Li 0.000 0.000 0.500
5 Li 0.500 0.000 0.000

VASP energy: -3.54 eV/atom

Record 2
First-principles (PBE-GGA) data for a relaxed Ba2LiPH crystal, as listed in Alexandria via LeMat-Bulk.

abc: 4.387 6.861 8.907
angles: 108.69 90.00 90.00
Last column: magnetic moment on the atom in μB.
Element x y z (fractional)
1 Ba 0.750 0.813 0.598  0.08
2 Ba 0.750 0.765 0.042  0.17
3 Ba 0.250 0.187 0.402  0.08
4 Ba 0.250 0.235 0.958  0.17
5 Li 0.250 0.530 0.741  0.02
6 Li 0.750 0.470 0.259  0.02
7 P 0.250 0.652 0.299  -0.02
8 P 0.750 0.348 0.701  -0.02
9 H 0.250 0.817 0.818  -0.01
10 H 0.750 0.183 0.182  -0.01

Energy relative to the lowest polymorph listed for this composition: 0.0000 eV/atom

Record 3
First-principles (PBE-GGA) data for a relaxed Ba2LiPH crystal, as listed in Alexandria via LeMat-Bulk.

abc: 5.358 5.358 4.318
angles: 90.00 90.00 90.00
Element x y z (fractional)
1 P 0.500 0.500 0.500
2 Ba 0.000 0.500 0.000
3 Ba 0.500 0.000 0.000
4 H 0.000 0.000 0.000
5 Li 0.000 0.000 0.500

Energy relative to the lowest polymorph listed for this composition: 0.1038 eV/atom

Record 4
First-principles (PBE-GGA) data for a relaxed Ba2Li3PaH12 crystal, as listed in Alexandria via LeMat-Bulk.

abc: 6.569 6.569 6.569
angles: 61.71 61.71 61.71
Element x y z (fractional)
1 Ba 0.608 0.608 0.608
2 Ba 0.392 0.392 0.392
3 Li 0.500 0.000 0.000
4 Li 0.000 0.500 0.000
5 Li 0.000 0.000 0.500
6 Pa 0.000 0.000 0.000
7 H 0.234 0.234 0.876
8 H 0.866 0.866 0.399
9 H 0.399 0.866 0.866
10 H 0.876 0.234 0.234
11 H 0.866 0.399 0.866
12 H 0.234 0.876 0.234
13 H 0.766 0.766 0.124
14 H 0.134 0.134 0.601
15 H 0.601 0.134 0.134
16 H 0.124 0.766 0.766
17 H 0.134 0.601 0.134
18 H 0.766 0.124 0.766

VASP energy: -3.67 eV/atom

Record 5
First-principles (PBE-GGA) data for a relaxed Ba2LiHPb crystal, as listed in Alexandria via LeMat-Bulk.

abc: 5.004 7.308 9.106
angles: 107.12 90.00 90.00
Element x y z (fractional)
1 Ba 0.750 0.799 0.586
2 Ba 0.750 0.773 0.050
3 Ba 0.250 0.201 0.414
4 Ba 0.250 0.227 0.950
5 Li 0.250 0.574 0.756
6 Li 0.750 0.426 0.244
7 H 0.250 0.838 0.847
8 H 0.750 0.162 0.153
9 Pb 0.250 0.649 0.291
10 Pb 0.750 0.351 0.709

Energy relative to the lowest polymorph listed for this composition: 0.0000 eV/atom

Record 6
First-principles (PBE-GGA) data for a relaxed BaLiH2Pb crystal, as listed in Alexandria via LeMat-Bulk.

abc: 4.654 7.211 4.654
angles: 90.00 90.00 90.00
Element x y z (fractional)
1 Pb 0.500 0.500 0.500
2 H 0.000 0.000 0.500
3 H 0.500 0.000 0.000
4 Ba 0.000 0.000 0.000
5 Li 0.000 0.500 0.000

VASP energy: -2.57 eV/atom

Record 7
First-principles (PBE-GGA) data for a relaxed Ba2LiHPb crystal, as listed in Alexandria via LeMat-Bulk.

abc: 5.653 5.653 4.714
angles: 90.00 90.00 90.00
Element x y z (fractional)
1 Pb 0.500 0.500 0.500
2 H 0.000 0.000 0.000
3 Ba 0.000 0.500 0.000
4 Ba 0.500 0.000 0.000
5 Li 0.000 0.000 0.500

Energy relative to the lowest polymorph listed for this composition: 0.0182 eV/atom

Record 8
First-principles (PBE-GGA) data for a relaxed BaLiH6Pd crystal, as listed in Alexandria via LeMat-Bulk.

abc: 4.924 4.924 4.977
angles: 90.00 90.00 60.00
Element x y z (fractional)
1 Ba 0.000 0.000 0.000
2 Li 0.667 0.667 0.500
3 H 0.031 0.435 0.283
4 H 0.435 0.031 0.717
5 H 0.534 0.435 0.717
6 H 0.031 0.534 0.717
7 H 0.435 0.534 0.283
8 H 0.534 0.031 0.283
9 Pd 0.333 0.333 0.500

VASP energy: -3.53 eV/atom

Record 9
First-principles (PBE-GGA) data for a relaxed Ba2LiHPd crystal, as listed in Alexandria via LeMat-Bulk.

abc: 5.535 5.535 4.202
angles: 90.00 90.00 90.00
Element x y z (fractional)
1 H 0.000 0.000 0.000
2 Ba 0.000 0.500 0.000
3 Ba 0.500 0.000 0.000
4 Pd 0.500 0.500 0.500
5 Li 0.000 0.000 0.500

Energy relative to the lowest polymorph listed for this composition: 0.0298 eV/atom

Record 10
First-principles (PBE-GGA) data for a relaxed Ba2LiHPd crystal, as listed in Alexandria via LeMat-Bulk.

abc: 4.362 7.374 8.906
angles: 109.97 90.00 90.00
Element x y z (fractional)
1 Ba 0.750 0.812 0.588
2 Ba 0.750 0.768 0.050
3 Ba 0.250 0.188 0.412
4 Ba 0.250 0.232 0.950
5 Li 0.250 0.555 0.743
6 Li 0.750 0.445 0.257
7 H 0.250 0.828 0.829
8 H 0.750 0.172 0.171
9 Pd 0.250 0.669 0.286
10 Pd 0.750 0.331 0.714

Energy relative to the lowest polymorph listed for this composition: 0.0000 eV/atom

Record 11
First-principles (PBE-GGA) data for a relaxed Ba2LiH6Pd crystal, as listed in Alexandria via LeMat-Bulk.

abc: 5.508 5.508 5.882
angles: 62.08 62.08 90.00
Element x y z (fractional)
1 Ba 0.750 0.250 0.500
2 Ba 0.250 0.750 0.500
3 Li 0.000 0.000 0.000
4 H 0.217 0.217 0.567
5 H 0.727 0.727 0.000
6 H 0.273 0.727 0.000
7 H 0.727 0.273 0.000
8 H 0.273 0.273 0.000
9 H 0.783 0.783 0.433
10 Pd 0.500 0.500 0.000

VASP energy: -3.56 eV/atom

Record 12
First-principles (PBE-GGA) data for a relaxed Ba2LiHPd crystal, as listed in Alexandria via LeMat-Bulk.

abc: 5.852 3.906 5.852
angles: 90.00 90.00 90.00
Element x y z (fractional)
1 H 0.000 0.000 0.000
2 Ba 0.000 0.000 0.500
3 Ba 0.500 0.000 0.000
4 Pd 0.000 0.500 0.000
5 Li 0.500 0.500 0.500

Energy relative to the lowest polymorph listed for this composition: 0.0966 eV/atom

| no. | N(E_F) (states/eV per cell) | total magnetization (μB/cell) |
| --- | --- | --- |
| 1 | 3.4 | 0.00 |
| 2 | 4.2 | 1.57 |
| 3 | 1.7 | 0.00 |
| 4 | 0.0 | 0.00 |
| 5 | 0.1 | 0.00 |
| 6 | 3.2 | 0.00 |
| 7 | 1.7 | 0.00 |
| 8 | 1.2 | 0.00 |
| 9 | 2.2 | 0.00 |
| 10 | 4.7 | 0.00 |
| 11 | 3.2 | 0.00 |
| 12 | 3.2 | 0.00 |